Entry w
BeCdS2: relaxed, PBE.

Space-group type = P-4m2, No. 115
M_tot = 0.00 μB/f.u.
Calculated density = 3.93 g/cm3

Lattice parameters (Å, degrees): 3.7251 3.7251 5.6448 90.00 90.00 90.00
Fractional positions:
Be 0.0000 0.0000 0.0000
Cd 0.5000 0.5000 0.5000
S 0.0000 0.5000 0.8033
S 0.5000 0.0000 0.1967

=====

Entry x
BeCdS2: relaxed, PBE.

Space-group type = R-3m, No. 166
M_tot = 0.00 μB/f.u.
Calculated density = 3.25 g/cm3

Lattice parameters (Å, degrees): 6.8697 6.8697 6.8697 34.94 34.94 34.94
Fractional positions:
Be 0.0000 0.0000 0.0000
Cd 0.5000 0.5000 0.5000
S 0.0973 0.0973 0.0973
S 0.9027 0.9027 0.9027

=====

entry w ends up most stable, edging out the next structure by 284 meV/atom.

=====

Entry w
BeCdS2: relaxed, PBE.

Space-group type = I4_1/amd, No. 141
M_tot = 0.00 μB/f.u.
Calculated density = 4.52 g/cm3

Lattice parameters (Å, degrees): 6.1771 6.1771 6.1771 129.66 129.66 73.94
Fractional positions:
Be 0.3750 0.6250 0.7500
Be 0.6250 0.3750 0.2500
Cd 0.1250 0.8750 0.2500
Cd 0.8750 0.1250 0.7500
S 0.1575 0.4075 0.7500
S 0.4075 0.1575 0.2500
S 0.5925 0.8425 0.7500
S 0.8425 0.5925 0.2500

=====

Entry x
BeCdS2: relaxed, PBE.

Space-group type = C2/m, No. 12
M_tot = 0.00 μB/f.u.
Calculated density = 4.47 g/cm3

Lattice parameters (Å, degrees): 3.8189 3.8189 6.4720 109.92 109.92 52.17
Fractional positions:
Be 0.0000 0.0000 0.0000
Cd 0.5000 0.5000 0.5000
S 0.3154 0.3154 0.7859
S 0.6846 0.6846 0.2141

=====

Entry y
BeCdS2: relaxed, PBE.

Space-group type = Fmm2, No. 42
M_tot = 0.00 μB/f.u.
Calculated density = 3.54 g/cm3

Lattice parameters (Å, degrees): 6.4348 5.8720 7.5291 55.75 48.97 75.28
Fractional positions:
Be 0.1419 0.8581 0.8581
Be 0.8581 0.1419 0.1419
Cd 0.3511 0.6442 0.3558
Cd 0.6442 0.3511 0.6489
S 0.0446 0.7748 0.2252
S 0.1620 0.5143 0.8380
S 0.5143 0.1620 0.4857
S 0.7748 0.0446 0.9554

=====

entry y ends up most stable, edging out the next structure by 312 meV/atom.

=====

Entry w
BeCdS2: relaxed, PBE.

Space-group type = Fm-3m, No. 225
M_tot = 0.00 μB/f.u.
Calculated density = 4.59 g/cm3

Lattice parameters (Å, degrees): 4.5629 4.5629 4.5629 60.00 60.00 60.00
Fractional positions:
Be 0.0000 0.0000 0.0000
Cd 0.5000 0.5000 0.5000
S 0.2500 0.2500 0.2500
S 0.7500 0.7500 0.7500

=====

Entry x
BeCdS2: relaxed, PBE.

Space-group type = P3m1, No. 156
M_tot = 0.00 μB/f.u.
Calculated density = 4.18 g/cm3

Lattice parameters (Å, degrees): 3.6142 3.6142 6.5178 90.00 90.00 120.00
Fractional positions:
Be 0.0000 0.0000 0.0000
Cd 0.3333 0.6667 0.5043
S 0.3333 0.6667 0.8912
S 0.6667 0.3333 0.2832

=====

Entry y
BeCdS2: relaxed, PBE.

Space-group type = C2/c, No. 15
M_tot = 0.00 μB/f.u.
Calculated density = 4.12 g/cm3

Lattice parameters (Å, degrees): 7.0697 7.0697 12.4953 97.04 97.04 76.02
Fractional positions:
Be 0.0226 0.7705 0.8390
Be 0.2295 0.9774 0.6610
Be 0.2752 0.4795 0.6456
Be 0.4795 0.2752 0.1456
Be 0.5205 0.7248 0.8544
Be 0.7248 0.5205 0.3544
Be 0.7705 0.0226 0.3390
Be 0.9774 0.2295 0.1610
Cd 0.0813 0.6612 0.1215
Cd 0.2962 0.4107 0.3980
Cd 0.3388 0.9187 0.3785
Cd 0.4107 0.2962 0.8980
Cd 0.5893 0.7038 0.1020
Cd 0.6612 0.0813 0.6215
Cd 0.7038 0.5893 0.6020
Cd 0.9187 0.3388 0.8785
S 0.0193 0.9807 0.2500
S 0.0274 0.5324 0.7253
S 0.1928 0.2792 0.0576
S 0.2792 0.1928 0.5576
S 0.2895 0.7048 0.9456
S 0.2952 0.7105 0.5544
S 0.4594 0.5406 0.2500
S 0.4676 0.9726 0.7747
S 0.5324 0.0274 0.2253
S 0.5406 0.4594 0.7500
S 0.7048 0.2895 0.4456
S 0.7105 0.2952 0.0544
S 0.7208 0.8072 0.4424
S 0.8072 0.7208 0.9424
S 0.9726 0.4676 0.2747
S 0.9807 0.0193 0.7500

=====

entry y ends up most stable, edging out the next structure by 170 meV/atom.

=====

Entry w
BeCdS2: relaxed, PBE.

Space-group type = P2_1, No. 4
M_tot = 0.00 μB/f.u.
Calculated density = 3.95 g/cm3

Lattice parameters (Å, degrees): 3.7097 6.2523 6.7296 90.00 90.05 90.00
Fractional positions:
Be 0.0005 0.0000 0.1537
Be 0.9995 0.5000 0.8463
Cd 0.4990 0.9936 0.6750
Cd 0.5010 0.4936 0.3250
S 0.9997 0.1615 0.8795
S 0.0003 0.6615 0.1205
S 0.4993 0.5868 0.6952
S 0.5007 0.0868 0.3048

=====

Entry x
BeCdS2: relaxed, PBE.

Space-group type = P2_1/m, No. 11
M_tot = 0.00 μB/f.u.
Calculated density = 3.50 g/cm3

Lattice parameters (Å, degrees): 6.7720 3.8352 6.8077 90.00 95.62 90.00
Fractional positions:
Be 0.0899 0.2500 0.1329
Be 0.9101 0.7500 0.8671
Cd 0.3926 0.2500 0.6883
Cd 0.6074 0.7500 0.3117
S 0.0610 0.2500 0.8202
S 0.3634 0.2500 0.2935
S 0.6366 0.7500 0.7065
S 0.9390 0.7500 0.1798

=====

Entry y
BeCdS2: relaxed, PBE.

Space-group type = P3m1, No. 156
M_tot = 0.00 μB/f.u.
Calculated density = 4.14 g/cm3

Lattice parameters (Å, degrees): 3.7398 3.7398 6.1409 90.00 90.00 120.00
Fractional positions:
Be 0.0000 0.0000 0.0000
Cd 0.6667 0.3333 0.5384
S 0.0000 0.0000 0.3313
S 0.3333 0.6667 0.8824

=====

Entry z
BeCdS2: relaxed, PBE.

Space-group type = P4/mmm, No. 123
M_tot = 0.00 μB/f.u.
Calculated density = 4.43 g/cm3

Lattice parameters (Å, degrees): 3.6620 3.6620 5.1895 90.00 90.00 90.00
Fractional positions:
Be 0.0000 0.0000 0.0000
Cd 0.5000 0.5000 0.5000
S 0.0000 0.0000 0.5000
S 0.5000 0.5000 0.0000

=====

entry w ends up most stable, edging out the next structure by 75 meV/atom.

=====

Entry w
BeCdS2: relaxed, PBE.

Space-group type = Cmcm, No. 63
M_tot = 0.00 μB/f.u.
Calculated density = 4.04 g/cm3

Lattice parameters (Å, degrees): 9.7297 9.7297 4.2043 90.00 90.00 157.48
Fractional positions:
Be 0.0625 0.9375 0.7500
Be 0.9375 0.0625 0.2500
Cd 0.3248 0.6752 0.7500
Cd 0.6752 0.3248 0.2500
S 0.0510 0.9490 0.2500
S 0.1801 0.8199 0.7500
S 0.8199 0.1801 0.2500
S 0.9490 0.0510 0.7500

=====

Entry x
BeCdS2: relaxed, PBE.

Space-group type = C2/c, No. 15
M_tot = 0.00 μB/f.u.
Calculated density = 3.14 g/cm3

Lattice parameters (Å, degrees): 6.4564 6.4564 5.7064 108.33 108.33 105.21
Fractional positions:
Be 0.0038 0.9962 0.7500
Be 0.9962 0.0038 0.2500
Cd 0.3056 0.6944 0.2500
Cd 0.6944 0.3056 0.7500
S 0.0469 0.2708 0.1093
S 0.2708 0.0469 0.6093
S 0.7292 0.9531 0.3907
S 0.9531 0.7292 0.8907

=====

entry x ends up most stable, edging out the next structure by 384 meV/atom.

=====

Entry w
BeCdS2: relaxed, PBE.

Space-group type = C2/c, No. 15
M_tot = 0.00 μB/f.u.
Calculated density = 4.00 g/cm3

Lattice parameters (Å, degrees): 7.0935 7.0935 12.9699 100.72 100.72 76.19
Fractional positions:
Be 0.1487 0.7071 0.8578
Be 0.2929 0.8513 0.6422
Be 0.3430 0.3594 0.6624
Be 0.3594 0.3430 0.1624
Be 0.6406 0.6570 0.8376
Be 0.6570 0.6406 0.3376
Be 0.7071 0.1487 0.3578
Be 0.8513 0.2929 0.1422
Cd 0.0894 0.7341 0.3639
Cd 0.1467 0.2706 0.3985
Cd 0.2659 0.9106 0.1361
Cd 0.2706 0.1467 0.8985
Cd 0.7294 0.8533 0.1015
Cd 0.7341 0.0894 0.8639
Cd 0.8533 0.7294 0.6015
Cd 0.9106 0.2659 0.6361
S 0.0828 0.9172 0.7500
S 0.1041 0.2443 0.0663
S 0.1728 0.4226 0.7825
S 0.2326 0.5811 0.5556
S 0.2443 0.1041 0.5663
S 0.3642 0.6358 0.2500
S 0.4189 0.7674 0.9444
S 0.4226 0.1728 0.2825
S 0.5774 0.8272 0.7175
S 0.5811 0.2326 0.0556
S 0.6358 0.3642 0.7500
S 0.7557 0.8959 0.4337
S 0.7674 0.4189 0.4444
S 0.8272 0.5774 0.2175
S 0.8959 0.7557 0.9337
S 0.9172 0.0828 0.2500

=====

Entry x
BeCdS2: relaxed, PBE.

Space-group type = Pnma, No. 62
M_tot = 0.00 μB/f.u.
Calculated density = 3.81 g/cm3

Lattice parameters (Å, degrees): 6.2944 3.5925 14.3039 90.00 90.00 90.00
Fractional positions:
Be 0.0440 0.2500 0.0752
Be 0.4560 0.7500 0.5752
Be 0.5440 0.2500 0.4248
Be 0.9560 0.7500 0.9248
Cd 0.0605 0.7500 0.3087
Cd 0.4395 0.2500 0.8087
Cd 0.5605 0.7500 0.1913
Cd 0.9395 0.2500 0.6913
S 0.1432 0.2500 0.9311
S 0.2434 0.7500 0.6861
S 0.2566 0.2500 0.1861
S 0.3568 0.7500 0.4311
S 0.6432 0.2500 0.5689
S 0.7434 0.7500 0.8139
S 0.7566 0.2500 0.3139
S 0.8568 0.7500 0.0689

=====

Entry y
BeCdS2: relaxed, PBE.

Space-group type = Pna2_1, No. 33
M_tot = 0.00 μB/f.u.
Calculated density = 3.98 g/cm3

Lattice parameters (Å, degrees): 6.4723 7.6851 6.2253 90.00 90.00 90.00
Fractional positions:
Be 0.0694 0.1258 0.0000
Be 0.4306 0.6258 0.5000
Be 0.5694 0.3742 0.0000
Be 0.9306 0.8742 0.5000
Cd 0.0893 0.6222 0.9986
Cd 0.4107 0.1222 0.4986
Cd 0.5893 0.8778 0.9986
Cd 0.9107 0.3778 0.4986
S 0.0497 0.0950 0.6594
S 0.1129 0.6552 0.5905
S 0.3871 0.1552 0.0905
S 0.4503 0.5950 0.1594
S 0.5497 0.4050 0.6594
S 0.6129 0.8448 0.5905
S 0.8871 0.3448 0.0905
S 0.9503 0.9050 0.1594

=====

entry y ends up most stable, edging out the next structure by 120 meV/atom.